1.
DFT (PBE-GGA) results for a geometry-optimized ZrInCu2 structure.

Properties
E_form   0.158 eV/atom
Total magnetization   0.00 μB/cell
Symmetry   R-3m (166)

```
4
Lattice="8.564 -0.167 -0.098 8.019 3.010 -0.098 8.019 1.375 2.679" Properties=species:S:1:pos:R:3 pbc="T T T"
Cu 24.590 4.216 2.482
Cu 12.313 2.111 1.243
In 6.151 1.054 0.621
Zr 18.452 3.163 1.862
```

***

2.
DFT (PBE-GGA) results for a geometry-optimized BeCd2Ni structure.

Properties
E_form   0.282 eV/atom
Total magnetization   0.00 μB/cell
Symmetry   F-43m (216)

```
4
Lattice="-1.874 3.881 -1.027 -3.953 1.067 1.691 -0.313 3.188 3.061" Properties=species:S:1:pos:R:3 pbc="T T T"
Ni -4.605 6.102 2.794
Be -3.070 4.068 1.862
Cd 0.000 0.000 0.000
Cd -1.535 2.034 0.931
```

***

3.
DFT (PBE-GGA) results for a geometry-optimized Nd4Tm structure.

Properties
Relative energy among the computed polymorphs   625 meV/atom
E_form   0.639 eV/atom
Total magnetization   0.01 μB/cell
Symmetry   Pm-3m (221)

```
5
Lattice="-1.111 -2.395 5.199 -1.525 -4.981 -2.620 5.517 -1.859 0.322" Properties=species:S:1:pos:R:3 pbc="T T T"
Tm 1.441 -4.617 1.450
Nd 0.000 0.000 0.000
Nd 2.203 -2.127 2.761
Nd 1.996 -3.420 -1.149
Nd -1.318 -3.688 1.289
```

***

4.
DFT (PBE-GGA) results for a geometry-optimized Mg4Hg5 structure.

Properties
Relative energy among the computed polymorphs   0 meV/atom
E_form   -0.163 eV/atom
Total magnetization   0.00 μB/cell
Symmetry   P6_3/mcm (193)

```
18
Lattice="8.596 0.000 0.000 -4.298 7.444 0.000 0.000 0.000 6.261" Properties=species:S:1:pos:R:3 pbc="T T T"
Hg -3.038 5.261 1.565
Hg 1.260 2.183 1.565
Hg 6.075 0.000 1.565
Hg -1.260 2.183 4.696
Hg 3.038 5.261 4.696
Hg 2.521 0.000 4.696
Hg 4.298 2.481 0.000
Hg 0.000 4.963 3.130
Hg 0.000 4.963 0.000
Hg 4.298 2.481 3.130
Mg 0.000 0.000 0.000
Mg 0.000 0.000 3.130
Mg -1.590 2.755 1.565
Mg 2.707 4.689 1.565
Mg 3.181 0.000 1.565
Mg -2.707 4.689 4.696
Mg 1.590 2.755 4.696
Mg 5.415 0.000 4.696
```